Entry 1:
## Na3SnAsCO7 (PBE-GGA)

Data for an optimized crystal structure of Na3SnAsCO7.

Summary:
- Calculated volume: 15.31 Å³/atom
- Total magnetic moment: 0.000 μB per atom
- VASP energy: -5.921 eV/atom
- Symmetry: P2_1/m (11)

a = 7.309 Å, b = 5.646 Å, c = 9.736 Å
α = 82.22°, β = 90.00°, γ = 90.00°
Positions (direct):
1 Na 0.250 0.754 0.911
2 Na 0.013 0.215 0.737
3 Na 0.487 0.215 0.737
4 Na 0.513 0.785 0.263
5 Na 0.987 0.785 0.263
6 Na 0.750 0.246 0.089
7 Sn 0.750 0.757 0.659
8 Sn 0.250 0.243 0.341
9 As 0.250 0.725 0.603
10 As 0.750 0.275 0.397
11 C 0.750 0.788 0.954
12 C 0.250 0.212 0.046
13 O 0.250 0.160 0.922
14 O 0.750 0.965 0.848
15 O 0.750 0.571 0.925
16 O 0.067 0.820 0.694
17 O 0.433 0.820 0.694
18 O 0.250 0.422 0.612
19 O 0.750 0.149 0.571
20 O 0.250 0.851 0.429
21 O 0.750 0.578 0.388
22 O 0.567 0.180 0.306
23 O 0.933 0.180 0.306
24 O 0.250 0.429 0.075
25 O 0.250 0.035 0.152
26 O 0.750 0.840 0.078

Entry 2:
## BaTl2Fe (PBE-GGA)

Data for an optimized crystal structure of BaTl2Fe.

Summary:
- Calculated volume: 31.06 Å³/atom
- Total magnetic moment: 0.596 μB per atom
- VASP energy: -3.518 eV/atom
- Symmetry: Cmmm (65)

a = 4.484 Å, b = 5.451 Å, c = 5.449 Å
α = 68.88°, β = 90.00°, γ = 90.00°
Each line ends with the local moment (μB).
Positions (direct):
1 Ba 0.500 0.250 0.250  -0.07
2 Fe 0.500 0.750 0.750  2.61
3 Tl 0.000 0.927 0.927  -0.04
4 Tl 0.000 0.573 0.573  -0.04

Entry 3:
## Re3C (PBE-GGA)

Data for an optimized crystal structure of Re3C.

Summary:
- Calculated volume: 13.40 Å³/atom
- Total magnetic moment: 0.000 μB per atom
- Energy above the most stable polymorph in this dataset: 1397 meV/atom
- VASP energy: -10.262 eV/atom
- Symmetry: P6_3/mmc (194)

a = 5.561 Å, b = 5.561 Å, c = 4.004 Å
α = 90.00°, β = 90.00°, γ = 120.00°
Positions (direct):
1 Re 0.825 0.649 0.250
2 Re 0.351 0.175 0.250
3 Re 0.825 0.175 0.250
4 Re 0.175 0.351 0.750
5 Re 0.649 0.825 0.750
6 Re 0.175 0.825 0.750
7 C 0.333 0.667 0.250
8 C 0.667 0.333 0.750

Entry 4:
## RbNaLiSb (PBE-GGA)

Data for an optimized crystal structure of RbNaLiSb.

Summary:
- Calculated volume: 36.20 Å³/atom
- Total magnetic moment: 0.000 μB per atom
- Energy above the most stable polymorph in this dataset: 0 meV/atom
- VASP energy: -2.526 eV/atom
- Symmetry: R3m (160)

a = 5.086 Å, b = 5.086 Å, c = 7.099 Å
α = 69.01°, β = 69.01°, γ = 60.00°
Positions (direct):
1 Rb 0.820 0.820 0.540
2 Na 0.004 0.004 0.989
3 Li 0.285 0.285 0.144
4 Sb 0.617 0.617 0.149

| no. | theoretical density (Mg/m³) |
| --- | --- |
| 1 | 3.2 |
| 2 | 8.0 |
| 3 | 17.7 |
| 4 | 2.7 |